[1]
# ZnNiP2 GGA-PBE relaxed
# Total energy: -4.53 eV per atom
# N(E_F): 3.657 states/eV/cell
data_ZnNiP2
_cell_length_a 3.4636
_cell_length_b 3.4636
_cell_length_c 16.9045
_cell_angle_alpha 90.00
_cell_angle_beta 90.00
_cell_angle_gamma 120.00
_space_group_name_H-M_alt 'R -3 m'
_space_group_IT_number 166
_space_group_name_Hall '-R 3 2"'
loop_
_atom_site_label
_atom_site_fract_x
_atom_site_fract_y
_atom_site_fract_z
Zn1 0.0000 0.0000 0.0000
Ni1 0.0000 0.0000 0.5000
P1 0.0000 0.0000 0.2341

=====

[2]
# Cs4InAu5 GGA-PBE relaxed
# Total energy: -2.48 eV per atom
data_Cs4InAu5
_cell_length_a 10.731
_cell_length_b 10.731
_cell_length_c 7.271
_cell_angle_alpha 90.00
_cell_angle_beta 90.00
_cell_angle_gamma 90.00
_space_group_name_H-M_alt 'I 4'
_space_group_IT_number 79
_space_group_name_Hall 'I 4'
loop_
_atom_site_label
_atom_site_fract_x
_atom_site_fract_y
_atom_site_fract_z
Cs1 0.082 0.708 0.000
In1 0.000 0.000 0.375
Au1 0.000 0.000 0.759
Au2 0.078 0.761 0.502

=====

[3]
# YRuRhPb2 GGA-PBE relaxed
# Total energy: -5.69 eV per atom
# N(E_F): 2.348 states/eV/cell
data_YRuRhPb2
_cell_length_a 5.134
_cell_length_b 5.134
_cell_length_c 5.169
_cell_angle_alpha 90.00
_cell_angle_beta 90.00
_cell_angle_gamma 90.00
_space_group_name_H-M_alt 'P 4/m m m'
_space_group_IT_number 123
_space_group_name_Hall '-P 4 2'
loop_
_atom_site_label
_atom_site_fract_x
_atom_site_fract_y
_atom_site_fract_z
Y1 0.000 0.000 0.000
Ru1 0.000 0.000 0.500
Rh1 0.500 0.500 0.000
Pb1 0.000 0.500 0.500

=====

[4]
# Tb4CeSn2 GGA-PBE relaxed
# Total energy: -4.99 eV per atom
# N(E_F): 23.383 states/eV/cell
data_Tb4CeSn2
_cell_length_a 8.043
_cell_length_b 6.553
_cell_length_c 8.798
_cell_angle_alpha 90.00
_cell_angle_beta 115.42
_cell_angle_gamma 90.00
_space_group_name_H-M_alt 'P 1 21/m 1'
_space_group_IT_number 11
_space_group_name_Hall '-P 2yb'
loop_
_atom_site_label
_atom_site_fract_x
_atom_site_fract_y
_atom_site_fract_z
Tb1 0.031 0.250 0.498
Tb2 0.173 0.504 0.219
Tb3 0.332 0.250 0.919
Ce1 0.392 0.750 0.642
Sn1 0.219 0.750 0.910
Sn2 0.439 0.250 0.613

=====

[5]
# AcGe3Pd GGA-PBE relaxed
# E above lowest polymorph: 0.0 meV per atom
# N(E_F): 2.840 states/eV/cell
data_AcGe3Pd
_cell_length_a 4.630
_cell_length_b 4.630
_cell_length_c 10.029
_cell_angle_alpha 90.00
_cell_angle_beta 90.00
_cell_angle_gamma 90.00
_space_group_name_H-M_alt 'I 4 m m'
_space_group_IT_number 107
_space_group_name_Hall 'I 4 -2'
loop_
_atom_site_label
_atom_site_fract_x
_atom_site_fract_y
_atom_site_fract_z
Ac1 0.000 0.000 0.000
Ge1 0.000 0.000 0.603
Ge2 0.000 0.500 0.244
Pd1 0.000 0.000 0.352

=====

[6]
# CeCd8Au6 GGA-PBE relaxed
# Total energy: -2.42 eV per atom
# N(E_F): 30.908 states/eV/cell
data_CeCd8Au6
_cell_length_a 8.3282
_cell_length_b 8.3282
_cell_length_c 17.1899
_cell_angle_alpha 90.00
_cell_angle_beta 90.00
_cell_angle_gamma 120.00
_space_group_name_H-M_alt 'R -3'
_space_group_IT_number 148
_space_group_name_Hall '-R 3'
loop_
_atom_site_label
_atom_site_fract_x
_atom_site_fract_y
_atom_site_fract_z
Ce1 0.0000 0.0000 0.0000
Cd1 0.0000 0.0000 0.3340
Cd2 0.0013 0.6640 0.5473
Au1 0.0014 0.6567 0.0520

=====

[7]
# NaPmSm2 GGA-PBE relaxed
# E above lowest polymorph: 40.0 meV per atom
# N(E_F): 15.607 states/eV/cell
data_NaPmSm2
_cell_length_a 3.5700
_cell_length_b 3.5700
_cell_length_c 38.7121
_cell_angle_alpha 90.00
_cell_angle_beta 90.00
_cell_angle_gamma 120.00
_space_group_name_H-M_alt 'R -3 m'
_space_group_IT_number 166
_space_group_name_Hall '-R 3 2"'
loop_
_atom_site_label
_atom_site_fract_x
_atom_site_fract_y
_atom_site_fract_z
Na1 0.0000 0.0000 0.0000
Pm1 0.0000 0.0000 0.5000
Sm1 0.0000 0.0000 0.0913

=====

[8]
# Tl2SnCl2F2 GGA-PBE relaxed
# Formation energy without anion corrections: -1514.0 meV/atom
# N(E_F): 0.000 states/eV/cell
data_Tl2SnCl2F2
_cell_length_a 4.701
_cell_length_b 4.701
_cell_length_c 16.979
_cell_angle_alpha 90.00
_cell_angle_beta 90.00
_cell_angle_gamma 90.00
_space_group_name_H-M_alt 'I 4/m m m'
_space_group_IT_number 139
_space_group_name_Hall '-I 4 2'
loop_
_atom_site_label
_atom_site_fract_x
_atom_site_fract_y
_atom_site_fract_z
Tl1 0.000 0.000 0.143
Sn1 0.000 0.000 0.500
Cl1 0.000 0.000 0.327
F1 0.000 0.500 0.000

=====

[9]
# LiMn2Co GGA-PBE relaxed
# E above lowest polymorph: 0.0 meV per atom
# N(E_F): 8.060 states/eV/cell
data_LiMn2Co
_cell_length_a 5.694
_cell_length_b 5.694
_cell_length_c 5.694
_cell_angle_alpha 90.00
_cell_angle_beta 90.00
_cell_angle_gamma 90.00
_space_group_name_H-M_alt 'F -4 3 m'
_space_group_IT_number 216
_space_group_name_Hall 'F -4 2 3'
loop_
_atom_site_label
_atom_site_fract_x
_atom_site_fract_y
_atom_site_fract_z
Li1 0.000 0.000 0.000
Mn1 0.000 0.000 0.500
Mn2 0.250 0.250 0.250
Co1 0.250 0.250 0.750

=====

[10]
# Pr2PuHf GGA-PBE relaxed
# Total energy: -8.10 eV per atom
# N(E_F): 37.356 states/eV/cell
data_Pr2PuHf
_cell_length_a 3.4039
_cell_length_b 3.4039
_cell_length_c 36.3581
_cell_angle_alpha 90.00
_cell_angle_beta 90.00
_cell_angle_gamma 120.00
_space_group_name_H-M_alt 'R -3 m'
_space_group_IT_number 166
_space_group_name_Hall '-R 3 2"'
loop_
_atom_site_label
_atom_site_fract_x
_atom_site_fract_y
_atom_site_fract_z
Pr1 0.0000 0.0000 0.0919
Pu1 0.0000 0.0000 0.0000
Hf1 0.0000 0.0000 0.5000

=====

[11]
# TbPr6Mg2 GGA-PBE relaxed
# E above lowest polymorph: 23.7 meV per atom
# N(E_F): 24.065 states/eV/cell
data_TbPr6Mg2
_cell_length_a 6.236
_cell_length_b 10.688
_cell_length_c 8.878
_cell_angle_alpha 90.00
_cell_angle_beta 90.00
_cell_angle_gamma 90.00
_space_group_name_H-M_alt 'C 2 2 2'
_space_group_IT_number 21
_space_group_name_Hall 'C 2 2'
loop_
_atom_site_label
_atom_site_fract_x
_atom_site_fract_y
_atom_site_fract_z
Tb1 0.000 0.000 0.000
Pr1 0.000 0.326 0.000
Pr2 0.243 0.085 0.337
Mg1 0.250 0.250 0.671

=====

[12]
# EuDyMg2 GGA-PBE relaxed
# Total energy: -4.59 eV per atom
# N(E_F): 7.429 states/eV/cell
data_EuDyMg2
_cell_length_a 3.882
_cell_length_b 3.882
_cell_length_c 7.848
_cell_angle_alpha 90.00
_cell_angle_beta 90.00
_cell_angle_gamma 90.00
_space_group_name_H-M_alt 'P 4/m m m'
_space_group_IT_number 123
_space_group_name_Hall '-P 4 2'
loop_
_atom_site_label
_atom_site_fract_x
_atom_site_fract_y
_atom_site_fract_z
Eu1 0.000 0.000 0.000
Dy1 0.000 0.000 0.500
Mg1 0.500 0.500 0.271

=====

[13]
# ZrHPt GGA-PBE relaxed
# E above lowest polymorph: 84.3 meV per atom
# N(E_F): 2.450 states/eV/cell
data_ZrHPt
_cell_length_a 3.408
_cell_length_b 4.342
_cell_length_c 5.632
_cell_angle_alpha 89.92
_cell_angle_beta 72.86
_cell_angle_gamma 89.96
_space_group_name_H-M_alt 'P -1'
_space_group_IT_number 2
_space_group_name_Hall '-P 1'
loop_
_atom_site_label
_atom_site_fract_x
_atom_site_fract_y
_atom_site_fract_z
Zr1 0.148 0.251 0.204
H1 0.234 0.750 0.041
Pt1 0.422 0.250 0.653

=====

[14]
# Ti2BeFe2Co5 GGA-PBE relaxed
# Total energy: -7.25 eV per atom
# N(E_F): 19.476 states/eV/cell
data_Ti2BeFe2Co5
_cell_length_a 8.123
_cell_length_b 8.123
_cell_length_c 3.631
_cell_angle_alpha 90.00
_cell_angle_beta 90.00
_cell_angle_gamma 90.00
_space_group_name_H-M_alt 'P 4/m b m'
_space_group_IT_number 127
_space_group_name_Hall '-P 4 2ab'
loop_
_atom_site_label
_atom_site_fract_x
_atom_site_fract_y
_atom_site_fract_z
Ti1 0.174 0.326 0.000
Be1 0.000 0.000 0.000
Fe1 0.131 0.631 0.000
Co1 0.000 0.500 0.500
Co2 0.061 0.804 0.500

=====

[15]
# Pr3HgBr GGA-PBE relaxed
# Formation energy without anion corrections: -624.3 meV/atom
# N(E_F): 21.337 states/eV/cell
data_Pr3HgBr
_cell_length_a 9.480
_cell_length_b 4.094
_cell_length_c 16.310
_cell_angle_alpha 90.00
_cell_angle_beta 90.00
_cell_angle_gamma 90.00
_space_group_name_H-M_alt 'P n m a'
_space_group_IT_number 62
_space_group_name_Hall '-P 2ac 2n'
loop_
_atom_site_label
_atom_site_fract_x
_atom_site_fract_y
_atom_site_fract_z
Pr1 0.027 0.250 0.103
Pr2 0.145 0.250 0.552
Pr3 0.185 0.750 0.272
Hg1 0.080 0.750 0.699
Br1 0.203 0.250 0.944

=====

[16]
# TcH3Os GGA-PBE relaxed
# E above lowest polymorph: 0.0 meV per atom
# N(E_F): 3.737 states/eV/cell
data_TcH3Os
_cell_length_a 3.416
_cell_length_b 3.416
_cell_length_c 3.416
_cell_angle_alpha 90.00
_cell_angle_beta 90.00
_cell_angle_gamma 90.00
_space_group_name_H-M_alt 'P m -3 m'
_space_group_IT_number 221
_space_group_name_Hall '-P 4 2 3'
loop_
_atom_site_label
_atom_site_fract_x
_atom_site_fract_y
_atom_site_fract_z
Tc1 0.000 0.000 0.000
H1 0.000 0.500 0.500
Os1 0.500 0.500 0.500

=====

[17]
# NbGe2Br6 GGA-PBE relaxed
# Formation energy without anion corrections: -453.8 meV/atom
# N(E_F): 5.319 states/eV/cell
data_NbGe2Br6
_cell_length_a 14.883
_cell_length_b 11.749
_cell_length_c 6.287
_cell_angle_alpha 90.00
_cell_angle_beta 92.80
_cell_angle_gamma 90.00
_space_group_name_H-M_alt 'C 1 2/c 1'
_space_group_IT_number 15
_space_group_name_Hall '-C 2yc'
loop_
_atom_site_label
_atom_site_fract_x
_atom_site_fract_y
_atom_site_fract_z
Nb1 0.000 0.057 0.250
Ge1 0.206 0.391 0.299
Br1 0.102 0.232 0.440
Br2 0.113 0.088 0.936
Br3 0.121 0.423 0.940

=====

[18]
# SrAcTm GGA-PBE relaxed
# E above lowest polymorph: 26.9 meV per atom
# N(E_F): 3.998 states/eV/cell
data_SrAcTm
_cell_length_a 3.8824
_cell_length_b 3.8824
_cell_length_c 9.5218
_cell_angle_alpha 90.00
_cell_angle_beta 90.00
_cell_angle_gamma 120.00
_space_group_name_H-M_alt 'P 3 m 1'
_space_group_IT_number 156
_space_group_name_Hall 'P 3 -2"'
loop_
_atom_site_label
_atom_site_fract_x
_atom_site_fract_y
_atom_site_fract_z
Sr1 0.0000 0.0000 0.0000
Ac1 0.3333 0.6667 0.6292
Tm1 0.6667 0.3333 0.3296

=====

[19]
# KLaTe3 GGA-PBE relaxed
# Formation energy without anion corrections: 27.0 meV/atom
# E above lowest polymorph: 819.1 meV per atom
# N(E_F): 9.253 states/eV/cell
data_KLaTe3
_cell_length_a 5.798
_cell_length_b 5.798
_cell_length_c 5.798
_cell_angle_alpha 90.00
_cell_angle_beta 90.00
_cell_angle_gamma 90.00
_space_group_name_H-M_alt 'P m -3 m'
_space_group_IT_number 221
_space_group_name_Hall '-P 4 2 3'
loop_
_atom_site_label
_atom_site_fract_x
_atom_site_fract_y
_atom_site_fract_z
K1 0.000 0.000 0.000
La1 0.500 0.500 0.500
Te1 0.000 0.000 0.500

=====

[20]
# HoIr6 GGA-PBE relaxed
# Total energy: -7.80 eV per atom
# N(E_F): 14.285 states/eV/cell
data_HoIr6
_cell_length_a 6.806
_cell_length_b 6.806
_cell_length_c 6.806
_cell_angle_alpha 90.00
_cell_angle_beta 90.00
_cell_angle_gamma 90.00
_space_group_name_H-M_alt 'I m -3 m'
_space_group_IT_number 229
_space_group_name_Hall '-I 4 2 3'
loop_
_atom_site_label
_atom_site_fract_x
_atom_site_fract_y
_atom_site_fract_z
Ho1 0.000 0.000 0.000
Ir1 0.000 0.250 0.500

=====

[21]
# Pr3Sm3Ga4 GGA-PBE relaxed
# Total energy: -4.53 eV per atom
# N(E_F): 21.258 states/eV/cell
data_Pr3Sm3Ga4
_cell_length_a 4.506
_cell_length_b 11.045
_cell_length_c 11.149
_cell_angle_alpha 90.00
_cell_angle_beta 90.00
_cell_angle_gamma 90.00
_space_group_name_H-M_alt 'A m m 2'
_space_group_IT_number 38
_space_group_name_Hall 'A 2 -2'
loop_
_atom_site_label
_atom_site_fract_x
_atom_site_fract_y
_atom_site_fract_z
Pr1 0.000 0.000 0.000
Pr2 0.500 0.248 0.078
Sm1 0.000 0.000 0.652
Sm2 0.000 0.174 0.328
Ga1 0.500 0.000 0.214
Ga2 0.500 0.000 0.446
Ga3 0.500 0.118 0.825

=====

[22]
# CsHfSeBr2 GGA-PBE relaxed
# Formation energy without anion corrections: -1238.3 meV/atom
# E above lowest polymorph: 0.0 meV per atom
# N(E_F): 1.463 states/eV/cell
data_CsHfSeBr2
_cell_length_a 5.455
_cell_length_b 5.455
_cell_length_c 5.212
_cell_angle_alpha 90.00
_cell_angle_beta 90.00
_cell_angle_gamma 90.00
_space_group_name_H-M_alt 'P 4/m m m'
_space_group_IT_number 123
_space_group_name_Hall '-P 4 2'
loop_
_atom_site_label
_atom_site_fract_x
_atom_site_fract_y
_atom_site_fract_z
Cs1 0.000 0.000 0.000
Hf1 0.500 0.500 0.500
Se1 0.500 0.500 0.000
Br1 0.000 0.500 0.500

=====

[23]
# La2Ge3PdPt4 GGA-PBE relaxed
# Total energy: -6.21 eV per atom
# N(E_F): 5.549 states/eV/cell
data_La2Ge3PdPt4
_cell_length_a 4.331
_cell_length_b 4.331
_cell_length_c 10.636
_cell_angle_alpha 90.00
_cell_angle_beta 90.00
_cell_angle_gamma 90.00
_space_group_name_H-M_alt 'P -4 m 2'
_space_group_IT_number 115
_space_group_name_Hall 'P -4 -2'
loop_
_atom_site_label
_atom_site_fract_x
_atom_site_fract_y
_atom_site_fract_z
La1 0.000 0.500 0.241
Ge1 0.000 0.000 0.000
Ge2 0.000 0.500 0.625
Pd1 0.500 0.500 0.000
Pt1 0.000 0.000 0.500
Pt2 0.000 0.500 0.854
Pt3 0.500 0.500 0.500